This record from Alexandria describes Dy2Tl2CrO6 after structural relaxation. The functional is PBE+U.

Computed properties:
For the total energy, the calculation gives -6.76 eV per atom. As for the space group: C2/m (12).

a b c (Å): 5.715 5.715 6.758
angles (deg): 97.69 97.69 119.15
Last column: magnetic moment on the atom in μB.
Atoms (fractional coordinates):
O 0.343 0.049 0.657  -0.04
O 0.246 0.246 0.329  -0.02
O 0.951 0.657 0.343  -0.04
Dy 0.335 0.665 0.500  0.00
O 0.754 0.754 0.671  -0.02
Cr 0.000 0.000 0.500  2.17
O 0.049 0.343 0.657  -0.04
O 0.657 0.951 0.343  -0.04
Dy 0.665 0.335 0.500  0.00
Tl 0.164 0.836 0.000  0.00
Tl 0.836 0.164 0.000  0.00